Record 1
Density functional theory data (GGA-PBE) for a geometry-optimized Mg2SiHg2 structure.

Results
- electronic total energy (eV per cell) = -17.4
- DOS at the Fermi energy (states/eV per cell) = 3.703
- space group = No. 127

The structure in extended XYZ format:
```
10
Lattice="7.8061 0.0000 0.0000 0.0000 7.8061 0.0000 0.0000 0.0000 3.4860" Properties=species:S:1:pos:R:3 pbc="T T T"
Mg 1.2650 5.1681 1.7430
Mg 5.1681 6.5411 1.7430
Mg 6.5411 2.6380 1.7430
Mg 2.6380 1.2650 1.7430
Si 0.0000 0.0000 0.0000
Si 3.9031 3.9031 0.0000
Hg 2.8057 6.7087 0.0000
Hg 6.7087 5.0004 0.0000
Hg 5.0004 1.0974 0.0000
Hg 1.0974 2.8057 0.0000
```

Record 2
Density functional theory data (GGA-PBE) for a geometry-optimized MgSiHg2 structure.

Results
- electronic total energy (eV per cell) = -6.9
- DOS at the Fermi energy (states/eV per cell) = 0.912
- space group = No. 123
- offset from the most stable computed form (meV/atom) = 27

The structure in extended XYZ format:
```
4
Lattice="4.4372 0.0000 0.0000 0.0000 4.4383 0.0000 0.0000 0.0000 4.2388" Properties=species:S:1:pos:R:3 pbc="T T T"
Hg 0.0000 0.0000 0.0000
Hg 2.2186 2.2191 0.0000
Mg 2.2186 0.0000 2.1194
Si 0.0000 2.2191 2.1194
```